(1)
11
Lattice="-1.884 3.034 1.346 -6.780 -3.561 -1.462 1.295 -4.745 7.096" Properties=species:S:1:pos:R:3 comment="Hf8SiBi2 (PBE, relaxed)" magmom_total_mub_per_cell=0.00 sg="C2/m, No. 12" formation_energy_uncorrected_ev_per_atom=-0.156 pbc="T T T"
Hf -1.600 -1.007 0.030
Hf -6.140 -5.572 3.964
Hf -2.316 -2.601 2.621
Bi -5.066 -3.838 1.561
Bi -2.303 -1.434 5.419
Si -0.942 1.517 0.673
Hf -2.974 -4.385 5.720
Hf -5.053 -2.671 4.358
Hf -5.769 -4.265 6.949
Hf -1.229 0.299 3.015
Hf -4.395 -0.888 1.260

***

(2)
8
Lattice="-3.540 2.604 0.521 -2.222 -0.026 3.827 3.905 8.093 4.880" Properties=species:S:1:pos:R:3 comment="BaLiZn2Ga4 (PBE, relaxed)" e_tot_ev_per_atom=-2.547 magmom_total_mub_per_cell=0.00 sg="R-3m, No. 166" pbc="T T T"
Li -0.929 5.336 4.614
Ga 1.617 5.252 3.533
Ga -3.474 5.420 5.696
Zn -0.084 3.140 2.531
Ga 0.681 7.334 5.562
Ba 0.000 0.000 0.000
Ga -2.538 3.338 3.667
Zn -1.773 7.532 6.697